The following is a GGA-PBE calculation of crystalline TiHgF at its relaxed geometry, from the Alexandria database.

**D(E_F)**: 1.05 states/eV per atom
**Space group**: Amm2 (38)
**Total energy**: -28.1 eV for the cell shown
**Energy relative to the elements, uncorrected**: -128.1 kJ per mole of atoms

a b c (Å): 2.984 2.990 13.951
angles (deg): 90.00 90.00 119.94
Fractional positions:
Hg: 0.537 0.074 0.000
Hg: 0.293 0.586 0.500
Ti: 0.626 0.252 0.328
Ti: 0.626 0.252 0.672
F: 0.293 0.585 0.764
F: 0.293 0.585 0.236